[1]
Material: CrAsPb2
Method: DFT, PBE
State: relaxed

POSCAR file:
```
CrAsPb2
1.0
-3.955 3.955 3.057
3.955 -3.955 3.057
3.955 3.955 -3.057
Cr As Pb
2 2 4
direct
0.000 0.000 0.000 Cr
0.750 0.250 0.500 Cr
0.250 0.750 0.500 As
0.500 0.500 0.000 As
0.106 0.625 0.981 Pb
0.375 0.356 0.481 Pb
0.644 0.125 0.019 Pb
0.875 0.894 0.519 Pb
```

Properties
Calculated total energy (eV per formula unit): -18.1
Space-group type: No. 122
Calculated formation energy (meV/atom): 888



[2]
Material: NaCd3Pb
Method: DFT, PBE
State: relaxed

POSCAR file:
```
NaCd3Pb
1.0
5.874 0.000 0.000
0.000 5.874 0.000
0.000 0.000 5.874
Na Cd Pb
1 3 1
direct
0.000 0.000 0.000 Na
0.000 0.500 0.500 Cd
0.500 0.000 0.500 Cd
0.500 0.500 0.000 Cd
0.500 0.500 0.500 Pb
```

Properties
Calculated total energy (eV per formula unit): -6.3
Space-group type: No. 221
Calculated formation energy (meV/atom): 293



[3]
Material: Cs2CdSeO4
Method: DFT, PBE
State: relaxed

POSCAR file:
```
Cs2CdSeO4
1.0
-3.224 3.224 4.265
3.224 -3.224 4.265
3.224 3.224 -4.265
Cs Cd Se O
2 1 1 4
direct
0.000 0.000 0.000 Cs
0.750 0.250 0.500 Cs
0.250 0.750 0.500 Cd
0.500 0.500 0.000 Se
0.265 0.157 0.653 O
0.388 0.735 0.893 O
0.504 0.612 0.347 O
0.843 0.496 0.107 O
```

Properties
Calculated total energy (eV per formula unit): -34.2
Space-group type: No. 82
Formation energy without anion corrections (eV per formula unit): -8.3



[4]
Material: KSiNi3
Method: DFT, PBE
State: relaxed

POSCAR file:
```
KSiNi3
1.0
4.452 0.000 0.000
0.000 4.452 0.000
0.000 0.000 4.452
K Si Ni
1 1 3
direct
0.000 0.000 0.000 K
0.500 0.500 0.500 Si
0.000 0.000 0.500 Ni
0.000 0.500 0.000 Ni
0.500 0.000 0.000 Ni
```

Properties
Calculated total energy (eV per formula unit): -13.4
Space-group type: No. 221
Formation energy without anion corrections (eV per formula unit): 10.5



[5]
Material: AcSnRh
Method: DFT, PBE
State: relaxed

POSCAR file:
```
AcSnRh
1.0
4.673 0.000 0.000
2.302 4.358 0.000
2.315 -0.431 9.004
Ac Sn Rh
2 2 2
direct
0.000 0.000 0.000 Ac
0.010 0.359 0.631 Ac
0.206 0.366 0.228 Sn
0.469 0.718 0.357 Sn
0.330 0.697 0.657 Rh
0.350 0.382 0.926 Rh
```

Properties
Calculated total energy (eV per formula unit): -16.8
Space-group type: No. 1
Calculated formation energy (meV/atom): -445



[6]
Material: Ti4In3O
Method: DFT, PBE
State: relaxed

POSCAR file:
```
Ti4In3O
1.0
4.290 0.000 0.000
0.000 7.627 0.000
0.000 0.000 9.305
Ti In O
8 6 2
direct
0.250 0.010 0.116 Ti
0.250 0.250 0.898 Ti
0.250 0.490 0.116 Ti
0.250 0.750 0.885 Ti
0.750 0.250 0.115 Ti
0.750 0.510 0.884 Ti
0.750 0.750 0.102 Ti
0.750 0.990 0.884 Ti
0.250 0.036 0.634 In
0.250 0.250 0.360 In
0.250 0.464 0.634 In
0.750 0.536 0.366 In
0.750 0.750 0.640 In
0.750 0.964 0.366 In
0.250 0.750 0.110 O
0.750 0.250 0.890 O
```

Properties
Calculated total energy (eV per formula unit): -49.9
Space-group type: No. 59
Formation energy without anion corrections (eV per formula unit): -5.2



[7]
Material: RbYSi
Method: DFT, PBE
State: relaxed

POSCAR file:
```
RbYSi
1.0
4.895 0.000 0.000
2.446 4.242 0.000
2.401 1.297 12.029
Rb Y Si
2 2 2
direct
0.000 0.000 0.000 Rb
0.450 0.472 0.641 Rb
0.257 0.265 0.228 Y
0.868 0.882 0.389 Y
0.177 0.193 0.463 Si
0.587 0.596 0.236 Si
```

Properties
Calculated total energy (eV per formula unit): -13.2
Space-group type: No. 1
Formation energy without anion corrections (eV per formula unit): -0.4